Computed, not measured: crystalline TaCrOs at its relaxed geometry at the GGA-PBE level of DFT.

The structure belongs to space group C2/m (No. 12); the cell edges are 10.075, 3.990 and 4.760 Å and the angles 90.00°, 102.71° and 90.00°. The inequivalent atoms are Ta at (0.130, 0.000, 0.324), Cr at (0.196, 0.000, 0.855) and Os at (0.063, 0.500, 0.779).

Its energy is -10.653 eV/atom. The calculation puts the formation energy from the elements at 0.25 eV per atom. The magnetization is 0.0 μB/cell.



Computed, not measured: crystalline Ta3CrOs2 at its relaxed geometry at the GGA-PBE level of DFT.

The structure belongs to space group Cmmm (No. 65); the cell edges are 4.454, 13.343 and 6.356 Å and the angles 90.00°, 90.00° and 90.00°. The inequivalent atoms are Ta at (0.000, 0.000, 0.243), Ta at (0.000, 0.330, 0.239), Cr at (0.000, 0.166, 0.000), Os at (0.000, 0.166, 0.500), Os at (0.000, 0.500, 0.000) and Os at (0.000, 0.500, 0.500).

Its energy is -11.574 eV/atom. The calculation puts the formation energy from the elements at -0.30 eV per atom. The magnetization is 0.0 μB/cell.



Computed, not measured: crystalline TaCrOs at its relaxed geometry at the GGA-PBE level of DFT.

The structure belongs to space group Fmm2 (No. 42); the cell edges are 3.135, 4.486 and 12.680 Å and the angles 90.00°, 90.00° and 90.00°. The inequivalent atoms are Ta at (0.000, 0.000, 0.000), Cr at (0.000, 0.000, 0.334) and Os at (0.000, 0.000, 0.678).

Its energy is -10.759 eV/atom. The calculation puts the formation energy from the elements at 0.14 eV per atom. The magnetization is 0.0 μB/cell.



Computed, not measured: crystalline TaCrOs at its relaxed geometry at the GGA-PBE level of DFT.

The structure belongs to space group I4mm (No. 107); the cell edges are 2.878, 2.878 and 10.870 Å and the angles 90.00°, 90.00° and 90.00°. The inequivalent atoms are Ta at (0.000, 0.000, 0.000), Cr at (0.000, 0.000, 0.320) and Os at (0.000, 0.000, 0.690).

Its energy is -10.905 eV/atom. The calculation puts the formation energy from the elements at 0.00 eV per atom. The magnetization is 0.0 μB/cell.



Computed, not measured: crystalline Ta3Cr2Os at its relaxed geometry at the GGA-PBE level of DFT.

The structure belongs to space group Cmmm (No. 65); the cell edges are 4.453, 13.260 and 3.119 Å and the angles 90.00°, 90.00° and 90.00°. The inequivalent atoms are Ta at (0.000, 0.000, 0.000), Ta at (0.000, 0.329, 0.000), Cr at (0.000, 0.166, 0.500) and Os at (0.000, 0.500, 0.500).

Its energy is -11.230 eV/atom. The calculation puts the formation energy from the elements at -0.22 eV per atom. The magnetization is 0.0 μB/cell.



Computed, not measured: crystalline TaCrOs at its relaxed geometry at the GGA-PBE level of DFT.

The structure belongs to space group F-43m (No. 216); the cell edges are 6.031, 6.031 and 6.031 Å and the angles 90.00°, 90.00° and 90.00°. The inequivalent atoms are Ta at (0.000, 0.000, 0.000), Cr at (0.250, 0.250, 0.250) and Os at (0.250, 0.250, 0.750).

Its energy is -10.180 eV/atom. The calculation puts the formation energy from the elements at 0.72 eV per atom. The magnetization is 12.4 μB/cell.



Computed, not measured: crystalline TaCrTeOs2 at its relaxed geometry at the GGA-PBE level of DFT.

The structure belongs to space group P4/mmm (No. 123); the cell edges are 4.735, 4.735 and 4.523 Å and the angles 90.00°, 90.00° and 90.00°. The inequivalent atoms are Ta at (0.000, 0.000, 0.000), Cr at (0.500, 0.500, 0.000), Te at (0.500, 0.500, 0.500) and Os at (0.000, 0.500, 0.500).

The calculation puts the uncorrected formation energy at 1041 kJ/mol of formula units. Its energy is -7.258 eV/atom. The magnetization is 0.0 μB/cell.



Computed, not measured: crystalline TaVCrOs at its relaxed geometry at the GGA-PBE level of DFT.

The structure belongs to space group F-43m (No. 216); the cell edges are 6.136, 6.136 and 6.136 Å and the angles 90.00°, 90.00° and 90.00°. The inequivalent atoms are Ta at (0.000, 0.000, 0.000), V at (0.000, 0.000, 0.500), Cr at (0.250, 0.250, 0.250) and Os at (0.250, 0.250, 0.750).

Its energy is -10.716 eV/atom. The calculation puts the formation energy from the elements at -0.26 eV per atom. The magnetization is 0.0 μB/cell.



Computed, not measured: crystalline CrTc2Os at its relaxed geometry at the GGA-PBE level of DFT.

The structure belongs to space group Imm2 (No. 44); the cell edges are 2.925, 4.356 and 8.799 Å and the angles 90.00°, 90.00° and 90.00°. The inequivalent atoms are Cr at (0.000, 0.000, 0.000), Tc at (0.000, 0.000, 0.506), Tc at (0.000, 0.500, 0.280) and Os at (0.000, 0.500, 0.729).

Its energy is -10.199 eV/atom. The calculation puts the formation energy from the elements at 0.20 eV per atom. The magnetization is 0.0 μB/cell.



Computed, not measured: crystalline CrTc2Os at its relaxed geometry at the GGA-PBE level of DFT.

The structure belongs to space group I-42d (No. 122); the cell edges are 3.745, 3.745 and 17.372 Å and the angles 90.00°, 90.00° and 90.00°. The inequivalent atoms are Cr at (0.000, 0.000, 0.000), Tc at (0.222, 0.250, 0.125) and Os at (0.000, 0.000, 0.500).

Its energy is -9.609 eV/atom. The calculation puts the formation energy from the elements at 0.79 eV per atom. The magnetization is 0.0 μB/cell.



Computed, not measured: crystalline CrTc2Os at its relaxed geometry at the GGA-PBE level of DFT.

The structure belongs to space group P2/m (No. 10); the cell edges are 2.691, 3.973 and 5.281 Å and the angles 90.00°, 97.86° and 90.00°. The inequivalent atoms are Cr at (0.000, 0.000, 0.000), Tc at (0.411, 0.500, 0.244) and Os at (0.000, 0.000, 0.500).

Its energy is -10.251 eV/atom. The calculation puts the formation energy from the elements at 0.15 eV per atom. The magnetization is 0.0 μB/cell.



Computed, not measured: crystalline Cr2TcOs at its relaxed geometry at the GGA-PBE level of DFT.

The structure belongs to space group Cmmm (No. 65); the cell edges are 2.963, 4.331 and 8.309 Å and the angles 90.00°, 90.00° and 90.00°. The inequivalent atoms are Cr at (0.000, 0.000, 0.248), Tc at (0.000, 0.500, 0.000) and Os at (0.000, 0.500, 0.500).

Its energy is -9.973 eV/atom. The calculation puts the formation energy from the elements at 0.24 eV per atom. The magnetization is 0.0 μB/cell.